Record 1
First-principles (GGA-PBE) data for crystalline YbSiAu at its relaxed geometry, as listed in Alexandria via LeMat-Bulk.

```
3
Lattice="4.400 0.000 0.000 -2.200 3.811 0.000 0.000 0.000 3.677" Properties=species:S:1:pos:R:3 pbc="T T T"
Au 0.000 2.540 1.838
Yb 0.000 0.000 0.000
Si 2.200 1.270 1.838
```

Output
- SG = P-6m2
- calculated total energy (eV per atom) = -4.118


Record 2
First-principles (GGA-PBE) data for crystalline MnGaSiRhSe at its relaxed geometry, as listed in Alexandria via LeMat-Bulk.

```
5
Lattice="-3.004 0.657 0.026 -2.410 -3.789 0.558 -1.405 0.954 5.805" Properties=species:S:1:pos:R:3 pbc="T T T"
Mn -4.219 -0.263 4.858
Se -2.568 0.154 3.206
Rh -2.960 -2.022 1.834
Ga -6.097 -1.674 5.761
Si -1.131 -0.786 0.740
```

Output
- energy relative to the lowest polymorph listed for this composition (meV/atom) = 130
- SG = P1


Record 3
First-principles (GGA-PBE) data for crystalline CsSi3Ag at its relaxed geometry, as listed in Alexandria via LeMat-Bulk.

```
5
Lattice="-5.396 -0.448 -1.388 -1.196 -1.683 5.194 -0.834 5.311 1.529" Properties=species:S:1:pos:R:3 pbc="T T T"
Cs 0.000 0.000 0.000
Si -2.698 -0.224 -0.694
Si -0.598 -0.842 2.597
Si -0.417 2.655 0.764
Ag -3.713 1.590 2.667
```

Output
- energy relative to the lowest polymorph listed for this composition (meV/atom) = 1371
- SG = Pm-3m


| no. | total magnetization (μB/cell) |
| --- | --- |
| 1 | 0.0 |
| 2 | 0.0 |
| 3 | 0.0 |